1.
A plane-wave DFT calculation with PBE was carried out for crystalline Nd6SmEr12 at its relaxed geometry.

E above lowest polymorph   0.00 eV/f.u.
Energy of formation from the pure elements   0.119 eV/atom

Cell: 11.0737 11.0737 17.4434 Å, 90.00 90.00 120.00°
Space group R-3m (No. 166, hexagonal axes)
One atom of each set of equivalent atoms:
Nd: 0.0691 0.5346 0.2660 [18 per cell]
Sm: 0.0000 0.0000 0.5000 [3 per cell]
Er: 0.1037 0.5518 0.9142 [18 per cell]
Er: 0.1061 0.2123 0.9085 [18 per cell]



2.
A plane-wave DFT calculation with PBE was carried out for crystalline Er4Tl2Cd5 at its relaxed geometry.

Energy of formation from the pure elements   -0.212 eV/atom

Cell: 7.9583 3.4996 10.2184 Å, 90.00 96.09 90.00°
Space group P2/m (No. 10)
One atom of each set of equivalent atoms:
Er: 0.1701 0.0000 0.3933 [2 per cell]
Er: 0.2781 0.0000 0.9383 [2 per cell]
Tl: 0.0696 0.5000 0.1411 [2 per cell]
Cd: 0.1886 0.5000 0.6574 [2 per cell]
Cd: 0.4511 0.5000 0.2040 [2 per cell]
Cd: 0.5000 0.5000 0.5000 [1 per cell]



Q: The highest energy of formation from the pure elements belongs to which entry?
A: Nd6SmEr12